VASP calculation (GGA+U) on an optimized crystal structure of PrCrO3.

Calculated total energy (eV per atom): -8.15
Density of states at the Fermi level (states/eV/f.u.): 0.000

Cell lengths 5.5124, 5.6311, 7.8477 Å; angles 90.00, 90.00, 90.00 degrees
Closest atoms and distances in Å follow each position.
Positions (direct):
Pr 0.5119 0.5484 0.2500  6 O 2.38-2.61
Pr 0.9881 0.0484 0.2500  6 O 2.38-2.61
Pr 0.4881 0.4516 0.7500  6 O 2.38-2.61
Pr 0.0119 0.9516 0.7500  6 O 2.38-2.61
Cr 0.0000 0.5000 0.0000  6 O 2.02-2.03
Cr 0.5000 0.0000 0.5000  6 O 2.02-2.03
Cr 0.0000 0.5000 0.5000  6 O 2.02-2.03
Cr 0.5000 0.0000 0.0000  6 O 2.02-2.03
O 0.4138 0.9770 0.2500  2 Cr 2.02
O 0.0862 0.4770 0.2500  2 Cr 2.02
O 0.5862 0.0230 0.7500  2 Cr 2.02
O 0.9138 0.5230 0.7500  2 Cr 2.02
O 0.7917 0.7908 0.0462  2 Cr 2.03
O 0.7083 0.2908 0.4538  2 Cr 2.03
O 0.2083 0.2092 0.5462  2 Cr 2.03
O 0.2917 0.7092 0.9538  2 Cr 2.03
O 0.2083 0.2092 0.9538  2 Cr 2.03
O 0.2917 0.7092 0.5462  2 Cr 2.03
O 0.7917 0.7908 0.4538  2 Cr 2.03
O 0.7083 0.2908 0.0462  2 Cr 2.03